Crystalline ErMoAsO5 at its relaxed geometry, computed with GGA+U.

As for the total energy: -56.3 eV per formula unit. The calculated volume is 117.84 Å³/f.u.

It has space group C2/c (No. 15), with a = 6.721 Å, b = 9.446 Å, c = 7.975 Å, α = 90.00°, β = 111.40° and γ = 90.00°. Symmetry generates all atoms from Er at (0.000, 0.000, 0.000), Mo at (0.000, 0.315, 0.250), As at (0.000, 0.315, 0.750), O at (0.000, 0.095, 0.250), O at (0.142, 0.201, 0.664) and O at (0.157, 0.425, 0.917).